# 1
Here is a crystal of V6FeNi relaxed with PBEsol from the Alexandria database. Energies are from SCAN.

Calculated values
The value obtained for the total energy is -17.58 eV per atom. For the volume, the calculation gives 12.1 Å³ per atom. As for the formation energy: -17 kJ per mole of atoms. The space group is Pm-3 (200).

Geometry as POSCAR:
```
V6FeNi
1.0
-2.281 -3.127 2.478
2.671 0.924 3.625
-2.965 3.239 1.359
Ni V Fe
1 6 1
Direct
0.000 0.000 0.000
0.252 0.000 0.500
0.500 0.252 0.000
0.500 0.748 0.000
0.748 0.000 0.500
0.000 0.500 0.748
0.000 0.500 0.252
0.500 0.500 0.500
```

# 2
Here is a crystal of Fe2NiW relaxed with PBEsol from the Alexandria database. Energies are from SCAN.

Calculated values
The value obtained for the total energy is -30.47 eV per atom. For the volume, the calculation gives 11.6 Å³ per atom. As for the formation energy: 6 kJ per mole of atoms. The space group is I-4m2 (119). The calculation puts the polymorph energy (0 for the lowest one) at 0 meV per atom.

Geometry as POSCAR:
```
Fe2NiW
1.0
3.606 0.000 0.000
0.000 3.606 0.000
-1.803 -1.803 3.567
W Ni Fe
1 1 2
Direct
0.750 0.250 0.500
0.000 0.000 0.000
0.250 0.750 0.500
0.500 0.500 0.000
```

# 3
Here is a crystal of Fe2NiW relaxed with PBEsol from the Alexandria database. Energies are from SCAN.

Calculated values
The value obtained for the total energy is -30.42 eV per atom. For the volume, the calculation gives 11.4 Å³ per atom. As for the formation energy: 10 kJ per mole of atoms. The space group is P4/mmm (123). The calculation puts the polymorph energy (0 for the lowest one) at 43 meV per atom.

Geometry as POSCAR:
```
Fe2NiW
1.0
-0.497 3.469 -0.156
-3.571 -0.514 -0.059
-0.081 0.150 3.605
W Ni Fe
1 1 2
Direct
0.500 0.000 0.000
0.500 0.500 0.500
0.000 0.500 0.000
0.000 0.000 0.500
```

- Which value of formation energy does entry 1 give?
  -17 kJ per mole of atoms

- Number 2 is which compound?
  Fe2NiW

- The highest formation energy belongs to which entry?
  number 3

- Which of these has the lowest formation energy?
  V6FeNi